# 1
Np2Zn12Au5: optimized geometry, PBE.

a = 6.9671 Å, b = 6.9671 Å, c = 6.9671 Å
α = 84.07°, β = 84.07°, γ = 84.07°
Positions (direct):
Np (0.1527, 0.1527, 0.1527)
Np (0.8473, 0.8473, 0.8473)
Zn (0.1481, 0.1481, 0.6675)
Zn (0.1481, 0.6675, 0.1481)
Zn (0.1958, 0.5000, 0.8042)
Zn (0.1958, 0.8042, 0.5000)
Zn (0.3325, 0.8519, 0.8519)
Zn (0.5000, 0.1958, 0.8042)
Zn (0.5000, 0.8042, 0.1958)
Zn (0.6675, 0.1481, 0.1481)
Zn (0.8042, 0.1958, 0.5000)
Zn (0.8042, 0.5000, 0.1958)
Zn (0.8519, 0.3325, 0.8519)
Zn (0.8519, 0.8519, 0.3325)
Au (0.0000, 0.5000, 0.5000)
Au (0.3904, 0.3904, 0.3904)
Au (0.5000, 0.0000, 0.5000)
Au (0.5000, 0.5000, 0.0000)
Au (0.6096, 0.6096, 0.6096)

Properties
N(E_F) = 25.83 states/eV/cell
E_tot = -3.121 eV per atom
Formation enthalpy at 0 K = -0.091 eV per atom
Calculated volume = 333.1 Å³/f.u.


# 2
SbSeBr2N: optimized geometry, PBE.

a = 5.6450 Å, b = 5.6450 Å, c = 5.3556 Å
α = 90.00°, β = 90.00°, γ = 90.00°
Positions (direct):
Sb (0.0000, 0.0000, 0.0000)
Se (0.0000, 0.0000, 0.5000)
Br (0.0000, 0.5000, 0.0000)
Br (0.5000, 0.0000, 0.0000)
N (0.5000, 0.5000, 0.5000)

Properties
N(E_F) = 4.87 states/eV/cell
E_tot = -2.894 eV per atom
Energy relative to the elements, uncorrected = 92.8 kJ/mol of atoms
ΔE to the lowest computed polymorph = 6.8 kJ per mole of atoms
Calculated volume = 170.7 Å³/f.u.


# 3
Cr2PdPt6: optimized geometry, PBE.

a = 6.2198 Å, b = 6.2198 Å, c = 6.2375 Å
α = 107.36°, β = 107.36°, γ = 36.24°
Positions (direct):
Cr (0.0581, 0.0581, 0.3331)
Cr (0.9419, 0.9419, 0.6669)
Pd (0.5000, 0.5000, 0.0000)
Pt (0.1653, 0.1653, 0.0048)
Pt (0.2805, 0.2805, 0.6620)
Pt (0.3954, 0.3954, 0.3370)
Pt (0.6046, 0.6046, 0.6630)
Pt (0.7195, 0.7195, 0.3380)
Pt (0.8347, 0.8347, 0.9952)

Properties
N(E_F) = 12.88 states/eV/cell
E_tot = -6.922 eV per atom
Formation enthalpy at 0 K = -0.180 eV per atom
Calculated volume = 135.5 Å³/f.u.


# 4
Sc2PtRh: optimized geometry, PBE.

a = 7.2047 Å, b = 7.2047 Å, c = 7.2047 Å
α = 131.28°, β = 131.28°, γ = 71.36°
Positions (direct):
Sc (0.1120, 0.6250, 0.9870)
Sc (0.3750, 0.3620, 0.4870)
Sc (0.6380, 0.1250, 0.0130)
Sc (0.8750, 0.8880, 0.5130)
Pt (0.2500, 0.7500, 0.5000)
Pt (0.5000, 0.5000, 0.0000)
Rh (0.0000, 0.0000, 0.0000)
Rh (0.7500, 0.2500, 0.5000)

Properties
N(E_F) = 7.98 states/eV/cell
E_tot = -6.673 eV per atom
Formation enthalpy at 0 K = -0.159 eV per atom
Calculated volume = 103.3 Å³/f.u.


# 5
ReAgAs2: optimized geometry, PBE.

a = 6.6501 Å, b = 6.6501 Å, c = 6.6501 Å
α = 154.44°, β = 137.08°, γ = 50.62°
Positions (direct):
Re (0.0000, 0.0000, 0.0000)
Ag (0.5000, 0.5000, 0.0000)
As (0.1659, 0.6659, 0.5000)
As (0.8341, 0.3341, 0.5000)

Properties
N(E_F) = 1.58 states/eV/cell
E_tot = -5.789 eV per atom
ΔE to the lowest computed polymorph = 20.2 kJ per mole of atoms
Formation enthalpy at 0 K = 0.360 eV per atom
Calculated volume = 86.1 Å³/f.u.


# 6
BaCoBr2: optimized geometry, PBE.

a = 8.4813 Å, b = 8.4813 Å, c = 8.4813 Å
α = 153.08°, β = 151.82°, γ = 39.36°
Positions (direct):
Ba (0.0000, 0.0000, 0.0000)
Co (0.1596, 0.6596, 0.5000)
Br (0.3998, 0.3998, 0.0000)
Br (0.6639, 0.1639, 0.5000)

Properties
N(E_F) = 5.61 states/eV/cell
E_tot = -3.661 eV per atom
Energy relative to the elements, uncorrected = -54.7 kJ/mol of atoms
ΔE to the lowest computed polymorph = 21.7 kJ per mole of atoms
Calculated volume = 130.2 Å³/f.u.


# 7
Be8CuAu3: optimized geometry, PBE.

a = 4.4960 Å, b = 4.4960 Å, c = 7.2800 Å
α = 90.00°, β = 90.00°, γ = 120.00°
Positions (direct):
Be (0.0000, 0.0000, 0.0000)
Be (0.0000, 0.0000, 0.4985)
Be (0.1626, 0.3252, 0.7437)
Be (0.1626, 0.8374, 0.7437)
Be (0.3304, 0.1652, 0.2520)
Be (0.6748, 0.8374, 0.7437)
Be (0.8348, 0.1652, 0.2520)
Be (0.8348, 0.6696, 0.2520)
Cu (0.6667, 0.3333, 0.5359)
Au (0.3333, 0.6667, 0.0675)
Au (0.3333, 0.6667, 0.4604)
Au (0.6667, 0.3333, 0.9077)

Properties
N(E_F) = 1.83 states/eV/cell
E_tot = -3.762 eV per atom
Formation enthalpy at 0 K = -0.117 eV per atom
Calculated volume = 127.4 Å³/f.u.


# 8
LaCePrLu: optimized geometry, PBE.

a = 5.7689 Å, b = 5.7689 Å, c = 5.7689 Å
α = 60.00°, β = 60.00°, γ = 60.00°
Positions (direct):
La (0.0000, 0.0000, 0.0000)
Ce (0.2500, 0.2500, 0.2500)
Pr (0.5000, 0.5000, 0.5000)
Lu (0.7500, 0.7500, 0.7500)

Properties
N(E_F) = 11.76 states/eV/cell
E_tot = -4.846 eV per atom
Formation enthalpy at 0 K = 0.195 eV per atom
Calculated volume = 135.8 Å³/f.u.


Q: Which of these has the highest calculated volume?
A: Np2Zn12Au5